1.
Density functional theory data (PBE-GGA) for Re2Os2O5 after structural relaxation.

Lattice parameters (Å, degrees): 3.3260 3.3260 8.2474 90.00 90.00 90.00
Element x y z (fractional)
1 Re 0.0000 0.0000 0.0000
2 Re 0.0000 0.0000 0.5000
3 Os 0.5000 0.5000 0.1616
4 Os 0.5000 0.5000 0.8384
5 O 0.0000 0.5000 0.3173
6 O 0.0000 0.5000 0.6827
7 O 0.5000 0.0000 0.3173
8 O 0.5000 0.0000 0.6827
9 O 0.5000 0.5000 0.5000

Computed properties:
Calculated volume in Å³/atom: 10.137
Uncorrected energy in eV/cell: -71.04
Space-group type: P4/mmm, No. 123


2.
Density functional theory data (PBE-GGA) for Os2SO7 after structural relaxation.

Lattice parameters (Å, degrees): 7.9546 6.6998 4.0511 90.00 90.00 90.00
Element x y z (fractional)
1 Os 0.2232 0.1769 0.0000
2 Os 0.2768 0.8231 0.5000
3 Os 0.7232 0.8231 0.5000
4 Os 0.7768 0.1769 0.0000
5 S 0.0000 0.5160 0.7191
6 S 0.5000 0.4840 0.2191
7 O 0.0000 0.1343 0.9934
8 O 0.0000 0.3819 0.4481
9 O 0.0000 0.7390 0.5853
10 O 0.1537 0.4978 0.9258
11 O 0.2389 0.1113 0.5186
12 O 0.2611 0.8887 0.0186
13 O 0.3463 0.5022 0.4258
14 O 0.5000 0.2610 0.0853
15 O 0.5000 0.6181 0.9481
16 O 0.5000 0.8657 0.4934
17 O 0.6537 0.5022 0.4258
18 O 0.7389 0.8887 0.0186
19 O 0.7611 0.1113 0.5186
20 O 0.8463 0.4978 0.9258

Computed properties:
Calculated volume in Å³/atom: 10.795
Uncorrected energy in eV/cell: -135.28
Space-group type: Pmn2_1, No. 31


3.
Density functional theory data (PBE-GGA) for Sr2OsSO6 after structural relaxation.

Lattice parameters (Å, degrees): 6.1285 6.1285 5.5918 117.07 117.07 50.68
Element x y z (fractional)
1 Sr 0.1864 0.1864 0.1876
2 Sr 0.8136 0.8136 0.8124
3 Os 0.5000 0.5000 0.5000
4 S 0.5000 0.5000 0.0000
5 O 0.2696 0.7287 0.2197
6 O 0.2713 0.7304 0.7803
7 O 0.3213 0.3213 0.8198
8 O 0.6787 0.6787 0.1802
9 O 0.7287 0.2696 0.2197
10 O 0.7304 0.2713 0.7803

Computed properties:
Calculated volume in Å³/atom: 14.038
Uncorrected energy in eV/cell: -62.82
Space-group type: C2/m, No. 12


4.
Density functional theory data (PBE-GGA) for Sb2Os2O5 after structural relaxation.

Lattice parameters (Å, degrees): 4.2316 4.2316 6.7241 90.00 90.00 90.00
Element x y z (fractional)
1 Sb 0.0000 0.0000 0.2125
2 Sb 0.0000 0.0000 0.7875
3 Os 0.5000 0.5000 0.0000
4 Os 0.5000 0.5000 0.5000
5 O 0.0000 0.0000 0.5000
6 O 0.0000 0.5000 0.2266
7 O 0.0000 0.5000 0.7734
8 O 0.5000 0.0000 0.2266
9 O 0.5000 0.0000 0.7734

Computed properties:
Calculated volume in Å³/atom: 13.378
Uncorrected energy in eV/cell: -51.52
Space-group type: P4/mmm, No. 123


5.
Density functional theory data (PBE-GGA) for Sb2Os2O5 after structural relaxation.

Lattice parameters (Å, degrees): 3.8552 3.8552 7.2414 90.00 90.00 90.00
Element x y z (fractional)
1 Sb 0.0000 0.0000 0.0000
2 Sb 0.0000 0.0000 0.5000
3 Os 0.5000 0.5000 0.1906
4 Os 0.5000 0.5000 0.8094
5 O 0.0000 0.5000 0.2735
6 O 0.0000 0.5000 0.7265
7 O 0.5000 0.0000 0.2735
8 O 0.5000 0.0000 0.7265
9 O 0.5000 0.5000 0.5000

Computed properties:
Calculated volume in Å³/atom: 11.958
Uncorrected energy in eV/cell: -58.72
Space-group type: P4/mmm, No. 123


6.
Density functional theory data (PBE-GGA) for SbOsO4 after structural relaxation.

Lattice parameters (Å, degrees): 6.4343 6.4343 5.3243 104.31 104.31 44.15
Element x y z (fractional)
1 Sb 0.2219 0.7781 0.7500
2 Sb 0.7781 0.2219 0.2500
3 Os 0.0000 0.5000 0.0000
4 Os 0.5000 0.0000 0.5000
5 O 0.0059 0.1821 0.9714
6 O 0.1821 0.0059 0.4714
7 O 0.2531 0.3583 0.3195
8 O 0.3583 0.2531 0.8195
9 O 0.6417 0.7469 0.1805
10 O 0.7469 0.6417 0.6805
11 O 0.8179 0.9941 0.5286
12 O 0.9941 0.8179 0.0286

Computed properties:
Calculated volume in Å³/atom: 12.330
Uncorrected energy in eV/cell: -83.50
Space-group type: C2/c, No. 15


| no. | magnetization (μB/f.u.) |
| --- | --- |
| 1 | 1.0 |
| 2 | 0.0 |
| 3 | 2.0 |
| 4 | 7.0 |
| 5 | 0.0 |
| 6 | 0.7 |